# 1
AgSb2Cl: relaxed, PBE.

Cell: 4.1160 4.1160 6.6480 Å, 90.00 90.00 90.00°
Sites, in units of the cell vectors:
Ag 0.0000 0.0000 0.0000
Sb 0.0000 0.5000 0.5000
Sb 0.5000 0.0000 0.5000
Cl 0.5000 0.5000 0.0000

Raw formation energy, eV per formula unit: 0.6


# 2
AgSbCl2: relaxed, PBE.

Cell: 3.5065 3.5065 8.9215 Å, 90.00 90.00 121.09°
Sites, in units of the cell vectors:
Ag 0.0000 0.0000 0.0000
Sb 0.0000 0.0000 0.5000
Cl 0.5000 0.5000 0.2230
Cl 0.5000 0.5000 0.7770

Raw formation energy, eV per formula unit: -0.8


# 3
AgSb2Cl: relaxed, PBE.

Cell: 3.3270 6.1888 5.4124 Å, 90.00 107.64 90.00°
Sites, in units of the cell vectors:
Ag 0.0000 0.0000 0.0000
Sb 0.7213 0.0000 0.4511
Sb 0.7260 0.5000 0.4578
Cl 0.9685 0.5000 0.9422

Raw formation energy, eV per formula unit: -0.4


# 4
AgSbCl2: relaxed, PBE.

Cell: 7.5866 7.5866 7.5866 Å, 152.82 143.19 46.36°
Sites, in units of the cell vectors:
Ag 0.0000 0.0000 0.0000
Sb 0.5000 0.5000 0.0000
Cl 0.3482 0.8482 0.5000
Cl 0.6518 0.1518 0.5000

Raw formation energy, eV per formula unit: -0.9


# 5
AgSbCl5: relaxed, PBE.

Cell: 7.7825 13.3922 9.4634 Å, 90.00 98.46 90.00°
Sites, in units of the cell vectors:
Ag 0.2481 0.2454 0.1271
Ag 0.2481 0.2546 0.6271
Ag 0.7519 0.7454 0.3729
Ag 0.7519 0.7546 0.8729
Sb 0.1506 0.5115 0.2142
Sb 0.1506 0.9885 0.7142
Sb 0.8494 0.0115 0.2858
Sb 0.8494 0.4885 0.7858
Cl 0.1171 0.0855 0.1681
Cl 0.1171 0.4145 0.6681
Cl 0.1199 0.6275 0.0144
Cl 0.1199 0.8725 0.5144
Cl 0.2433 0.1923 0.8751
Cl 0.2433 0.3077 0.3751
Cl 0.3656 0.6069 0.3584
Cl 0.3656 0.8931 0.8584
Cl 0.3747 0.0901 0.5871
Cl 0.3747 0.4098 0.0871
Cl 0.6253 0.5901 0.9129
Cl 0.6253 0.9098 0.4129
Cl 0.6344 0.1069 0.1416
Cl 0.6344 0.3931 0.6416
Cl 0.7567 0.6923 0.6249
Cl 0.7567 0.8077 0.1249
Cl 0.8801 0.1275 0.4856
Cl 0.8801 0.3725 0.9856
Cl 0.8829 0.5855 0.3319
Cl 0.8829 0.9145 0.8319

Raw formation energy, eV per formula unit: -4.4


# 6
AgSbCl4: relaxed, PBE.

Cell: 9.0779 9.0779 6.7687 Å, 105.04 105.04 127.44°
Sites, in units of the cell vectors:
Ag 0.1648 0.8352 0.7500
Ag 0.8352 0.1648 0.2500
Sb 0.3249 0.6751 0.2500
Sb 0.6751 0.3249 0.7500
Cl 0.0780 0.4674 0.7594
Cl 0.1950 0.3386 0.2330
Cl 0.3386 0.1950 0.7330
Cl 0.4674 0.0780 0.2594
Cl 0.5326 0.9220 0.7406
Cl 0.6614 0.8050 0.2670
Cl 0.8050 0.6614 0.7670
Cl 0.9220 0.5326 0.2406

Raw formation energy, eV per formula unit: -4.2